A | Computed, not measured: a relaxed Y2TlRe crystal at the PBE level of DFT.

Total magnetic moment   0.01 μB/cell

```
data_Y2TlRe
_cell_length_a 4.451
_cell_length_b 4.451
_cell_length_c 9.306
_cell_angle_alpha 90.00
_cell_angle_beta 90.00
_cell_angle_gamma 90.00
_space_group_name_H-M_alt 'I -4 m 2'
_space_group_IT_number 119
_space_group_name_Hall 'I -4 -2'
loop_
_atom_site_label
_atom_site_type_symbol
_atom_site_fract_x
_atom_site_fract_y
_atom_site_fract_z
Y1 Y 0.000 0.000 0.000
Y2 Y 0.000 0.500 0.250
Tl1 Tl 0.000 0.000 0.500
Re1 Re 0.000 0.500 0.750
```


B | Computed, not measured: a relaxed Y2TlRe crystal at the PBE level of DFT.

Total magnetic moment   0.00 μB/cell

```
data_Y2TlRe
_cell_length_a 3.501
_cell_length_b 3.528
_cell_length_c 7.879
_cell_angle_alpha 90.00
_cell_angle_beta 90.00
_cell_angle_gamma 90.00
_space_group_name_H-M_alt 'P m m m'
_space_group_IT_number 47
loop_
_space_group_symop_operation_xyz
'x,y,z'
'-x,-y,-z'
'-x,-y,z'
'x,y,-z'
'x,-y,-z'
'-x,y,z'
'-x,y,-z'
'x,-y,z'
loop_
_atom_site_label
_atom_site_type_symbol
_atom_site_fract_x
_atom_site_fract_y
_atom_site_fract_z
Y1 Y 0.000 0.000 0.210
Tl1 Tl 0.500 0.500 0.500
Re1 Re 0.500 0.500 0.000
```


Energies, relative to the best one, in kJ/mol of atoms: A 28.3; B 0.0.


A | Computed, not measured: a relaxed YTl2Re crystal at the PBE level of DFT.

Total magnetic moment   0.00 μB/cell

```
data_YTl2Re
_cell_length_a 3.073
_cell_length_b 4.446
_cell_length_c 6.473
_cell_angle_alpha 90.00
_cell_angle_beta 90.00
_cell_angle_gamma 90.00
_space_group_name_H-M_alt 'P m m m'
_space_group_IT_number 47
loop_
_space_group_symop_operation_xyz
'x,y,z'
'-x,-y,-z'
'-x,-y,z'
'x,y,-z'
'x,-y,-z'
'-x,y,z'
'-x,y,-z'
'x,-y,z'
loop_
_atom_site_label
_atom_site_type_symbol
_atom_site_fract_x
_atom_site_fract_y
_atom_site_fract_z
Y1 Y 0.000 0.000 0.000
Tl1 Tl 0.500 0.500 0.273
Re1 Re 0.000 0.000 0.500
```


B | Computed, not measured: a relaxed YTl2Re crystal at the PBE level of DFT.

Total magnetic moment   0.00 μB/cell

```
data_YTl2Re
_cell_length_a 3.794
_cell_length_b 4.418
_cell_length_c 6.053
_cell_angle_alpha 90.00
_cell_angle_beta 107.87
_cell_angle_gamma 90.00
_space_group_name_H-M_alt 'P 1 m 1'
_space_group_IT_number 6
loop_
_space_group_symop_operation_xyz
'x,y,z'
'x,-y,z'
loop_
_atom_site_label
_atom_site_type_symbol
_atom_site_fract_x
_atom_site_fract_y
_atom_site_fract_z
Y1 Y 0.000 0.000 0.000
Tl1 Tl 0.337 0.500 0.661
Tl2 Tl 0.726 0.000 0.448
Re1 Re 0.569 0.500 0.149
```


Energies, relative to the best one, in kJ/mol of atoms: A 4.8; B 0.0.


A | Computed, not measured: a relaxed YTl2Re crystal at the PBE level of DFT.

Total magnetic moment   0.86 μB/cell

```
data_YTl2Re
_cell_length_a 6.220
_cell_length_b 10.434
_cell_length_c 3.393
_cell_angle_alpha 90.00
_cell_angle_beta 122.06
_cell_angle_gamma 90.00
_space_group_name_H-M_alt 'C 1 2/m 1'
_space_group_IT_number 12
loop_
_space_group_symop_operation_xyz
'x,y,z'
'-x,-y,-z'
'-x,y,-z'
'x,-y,z'
'x+1/2,y+1/2,z'
'-x+1/2,-y+1/2,-z'
'-x+1/2,y+1/2,-z'
'x+1/2,-y+1/2,z'
loop_
_atom_site_label
_atom_site_type_symbol
_atom_site_fract_x
_atom_site_fract_y
_atom_site_fract_z
Y1 Y 0.000 0.000 0.000
Tl1 Tl 0.250 0.250 0.500
Re1 Re 0.000 0.500 0.000
```


B | Computed, not measured: a relaxed YTl2Re crystal at the PBE level of DFT.

Total magnetic moment   0.00 μB/cell

```
data_YTl2Re
_cell_length_a 4.329
_cell_length_b 4.329
_cell_length_c 21.118
_cell_angle_alpha 90.00
_cell_angle_beta 90.00
_cell_angle_gamma 90.00
_space_group_name_H-M_alt 'I -4 2 d'
_space_group_IT_number 122
_space_group_name_Hall 'I -4 2bw'
loop_
_atom_site_label
_atom_site_type_symbol
_atom_site_fract_x
_atom_site_fract_y
_atom_site_fract_z
Y1 Y 0.000 0.000 0.000
Tl1 Tl 0.226 0.250 0.625
Re1 Re 0.000 0.000 0.500
```


C | Computed, not measured: a relaxed YTl2Re crystal at the PBE level of DFT.

Total magnetic moment   0.00 μB/cell

```
data_YTl2Re
_cell_length_a 3.865
_cell_length_b 4.804
_cell_length_c 4.839
_cell_angle_alpha 90.00
_cell_angle_beta 90.00
_cell_angle_gamma 90.00
_space_group_name_H-M_alt 'P m m m'
_space_group_IT_number 47
loop_
_space_group_symop_operation_xyz
'x,y,z'
'-x,-y,-z'
'-x,-y,z'
'x,y,-z'
'x,-y,-z'
'-x,y,z'
'-x,y,-z'
'x,-y,z'
loop_
_atom_site_label
_atom_site_type_symbol
_atom_site_fract_x
_atom_site_fract_y
_atom_site_fract_z
Y1 Y 0.000 0.000 0.000
Tl1 Tl 0.000 0.500 0.500
Tl2 Tl 0.500 0.500 0.000
Re1 Re 0.500 0.000 0.500
```


D | Computed, not measured: a relaxed YTl2Re crystal at the PBE level of DFT.

Total magnetic moment   0.00 μB/cell

```
data_YTl2Re
_cell_length_a 3.316
_cell_length_b 4.654
_cell_length_c 12.922
_cell_angle_alpha 90.00
_cell_angle_beta 90.00
_cell_angle_gamma 90.00
_space_group_name_H-M_alt 'I m m 2'
_space_group_IT_number 44
loop_
_space_group_symop_operation_xyz
'x,y,z'
'-x,-y,z'
'-x,y,z'
'x,-y,z'
'x+1/2,y+1/2,z+1/2'
'-x+1/2,-y+1/2,z+1/2'
'-x+1/2,y+1/2,z+1/2'
'x+1/2,-y+1/2,z+1/2'
loop_
_atom_site_label
_atom_site_type_symbol
_atom_site_fract_x
_atom_site_fract_y
_atom_site_fract_z
Y1 Y 0.000 0.000 0.000
Tl1 Tl 0.000 0.000 0.368
Tl2 Tl 0.000 0.500 0.180
Re1 Re 0.000 0.500 0.680
```


Energies, relative to the best one, in kJ/mol of atoms: A 12.3; B 21.6; C 2.3; D 0.0.


A | Computed, not measured: a relaxed YTl2Re crystal at the PBE level of DFT.

Total magnetic moment   0.00 μB/cell

```
data_YTl2Re
_cell_length_a 3.143
_cell_length_b 4.945
_cell_length_c 5.917
_cell_angle_alpha 90.00
_cell_angle_beta 100.94
_cell_angle_gamma 90.00
_space_group_name_H-M_alt 'P 1 2/m 1'
_space_group_IT_number 10
loop_
_space_group_symop_operation_xyz
'x,y,z'
'-x,-y,-z'
'-x,y,-z'
'x,-y,z'
loop_
_atom_site_label
_atom_site_type_symbol
_atom_site_fract_x
_atom_site_fract_y
_atom_site_fract_z
Y1 Y 0.000 0.000 0.000
Tl1 Tl 0.368 0.500 0.736
Re1 Re 0.500 0.000 0.500
```


B | Computed, not measured: a relaxed YTl2Re crystal at the PBE level of DFT.

Total magnetic moment   0.00 μB/cell

```
data_YTl2Re
_cell_length_a 3.487
_cell_length_b 3.487
_cell_length_c 8.027
_cell_angle_alpha 90.00
_cell_angle_beta 90.00
_cell_angle_gamma 90.00
_space_group_name_H-M_alt 'P 4 m m'
_space_group_IT_number 99
loop_
_space_group_symop_operation_xyz
'x,y,z'
'-y,x,z'
'-x,-y,z'
'y,-x,z'
'-x,y,z'
'y,x,z'
'x,-y,z'
'-y,-x,z'
loop_
_atom_site_label
_atom_site_type_symbol
_atom_site_fract_x
_atom_site_fract_y
_atom_site_fract_z
Y1 Y 0.000 0.000 0.000
Tl1 Tl 0.000 0.000 0.399
Tl2 Tl 0.500 0.500 0.688
Re1 Re 0.500 0.500 0.206
```


C | Computed, not measured: a relaxed YTl2Re crystal at the PBE level of DFT.

Total magnetic moment   0.00 μB/cell

```
data_YTl2Re
_cell_length_a 4.395
_cell_length_b 4.395
_cell_length_c 9.265
_cell_angle_alpha 90.00
_cell_angle_beta 90.00
_cell_angle_gamma 90.00
_space_group_name_H-M_alt 'I -4 m 2'
_space_group_IT_number 119
_space_group_name_Hall 'I -4 -2'
loop_
_atom_site_label
_atom_site_type_symbol
_atom_site_fract_x
_atom_site_fract_y
_atom_site_fract_z
Y1 Y 0.000 0.000 0.000
Tl1 Tl 0.000 0.000 0.500
Tl2 Tl 0.000 0.500 0.250
Re1 Re 0.000 0.500 0.750
```


Energies, relative to the best one, in kJ/mol of atoms: A 4.3; B 0.0; C 10.0.